Below is an optimized crystal structure of HfSeSN2, with properties calculated at the GGA-PBE level.

Cell: 4.0582 4.0582 5.3988 Å, 90.00 90.00 90.00°
Last column: nearest neighbours and their distance in Å.
Element x y z (fractional)
1 N 0.5000 0.0000 0.0000  2 Hf 2.03
2 N 0.0000 0.5000 0.0000  2 Hf 2.03
3 Se 0.5000 0.5000 0.5000  4 S 2.87
4 S 0.0000 0.0000 0.5000  2 Hf 2.70, 4 Se 2.87
5 Hf 0.0000 0.0000 0.0000  4 N 2.03

The density of states at the Fermi level comes out at 4.18 states/eV per cell. The space-group type is P4/mmm. The calculation puts the total energy at -6.30 eV per atom. The value obtained for the uncorrected formation energy is 52.0 kJ per mole of atoms.

***

Below is an optimized crystal structure of Ac4InAgHg2, with properties calculated at the GGA-PBE level.

Cell: 5.7086 5.7086 9.8961 Å, 73.24 73.24 60.00°
Last column: nearest neighbours and their distance in Å.
Element x y z (fractional)
1 Ac 0.3781 0.3781 0.8657  1 Ag 3.41, 4 Hg 3.45-3.52, 3 In 3.53
2 Ac 0.8722 0.8722 0.3835  3 Ag 3.47, 4 Hg 3.49-3.55, 1 In 3.58
3 Ac 0.6219 0.6219 0.1343  1 Ag 3.41, 4 Hg 3.45-3.52, 3 In 3.53
4 Ac 0.1278 0.1278 0.6165  3 Ag 3.47, 4 Hg 3.49-3.55, 1 In 3.58
5 Ag 0.5000 0.5000 0.5000  8 Ac 3.41-3.47
6 In 0.0000 0.0000 0.0000  8 Ac 3.53-3.58
7 Hg 0.7476 0.7476 0.7573  8 Ac 3.45-3.55
8 Hg 0.2524 0.2524 0.2427  8 Ac 3.45-3.55

The formation energy is -0.403 eV per atom. The density of states at the Fermi level comes out at 8.74 states/eV per cell. The space-group type is R-3m. The calculation puts the total energy at -3.23 eV per atom.

***

Below is an optimized crystal structure of CaCe2F11, with properties calculated at the GGA-PBE level.

Cell: 8.6744 8.7736 8.7736 Å, 73.01 60.37 60.37°
Last column: nearest neighbours and their distance in Å.
Element x y z (fractional)
1 F 0.3955 0.6849 0.3151  1 F 2.13, 2 Ce 2.32-2.38
2 F 0.7616 0.4641 0.8096  1 Ce 2.14, 1 Ca 2.37
3 F 0.9192 0.4510 0.2841  1 Ce 2.14
4 F 0.8457 0.9510 0.7841  1 Ce 2.14
5 F 0.9647 0.8096 0.4641  1 Ce 2.14, 1 Ca 2.37
6 F 0.5808 0.2159 0.0490  1 Ce 2.14
7 F 0.0353 0.1904 0.5359  1 Ce 2.14, 1 Ca 2.37
8 F 0.0000 0.0000 0.0000  2 F 2.13
9 F 0.4192 0.7841 0.9510  1 Ce 2.14
10 F 0.4647 0.9641 0.3096  1 Ce 2.14, 1 Ca 2.37
11 F 0.1045 0.1849 0.8151  1 F 2.13, 2 Ce 2.32-2.38
12 F 0.5000 0.5000 0.5000  2 F 2.13
13 F 0.2616 0.3096 0.9641  1 Ce 2.14, 1 Ca 2.37
14 F 0.8955 0.8151 0.1849  1 F 2.13, 2 Ce 2.32-2.38
15 F 0.0808 0.5490 0.7159  1 Ce 2.14
16 F 0.7384 0.6904 0.0359  1 Ce 2.14, 1 Ca 2.37
17 F 0.2384 0.5359 0.1904  1 Ce 2.14, 1 Ca 2.37
18 F 0.6543 0.7159 0.5490  1 Ce 2.14
19 F 0.1543 0.0490 0.2159  1 Ce 2.14
20 F 0.5353 0.0359 0.6904  1 Ce 2.14, 1 Ca 2.37
21 F 0.6045 0.3151 0.6849  1 F 2.13, 2 Ce 2.32-2.38
22 F 0.3457 0.2841 0.4510  1 Ce 2.14
23 Ce 0.8300 0.1953 0.8047  6 F 2.14-2.38
24 Ce 0.3300 0.3047 0.6953  6 F 2.14-2.38
25 Ce 0.6700 0.6953 0.3047  6 F 2.14-2.38
26 Ce 0.1700 0.8047 0.1953  6 F 2.14-2.38
27 Ca 0.2500 0.2500 0.2500  8 F 2.37-2.43
28 Ca 0.7500 0.7500 0.7500  8 F 2.37-2.43

The space-group type is Ibam. The calculation puts the total energy at -5.92 eV per atom. The value obtained for the uncorrected formation energy is -334.0 kJ per mole of atoms.

***

Below is an optimized crystal structure of Tl5InSnPb2, with properties calculated at the GGA-PBE level.

Cell: 4.3691 12.0982 11.1713 Å, 90.00 90.00 100.40°
Last column: nearest neighbours and their distance in Å.
Element x y z (fractional)
1 Tl 0.7420 0.4840 0.7963  2 In 3.32, 3 Tl 3.34-3.43, 1 Sn 3.50
2 Tl 0.6809 0.3618 0.5275  1 In 3.11, 4 Pb 3.30-3.42, 1 Tl 3.34
3 Tl 0.0222 0.0443 0.0354  2 Sn 3.24, 1 Pb 3.31, 2 Tl 3.37
4 Tl 0.3429 0.6858 0.6978  2 In 3.28, 2 Pb 3.37, 1 Sn 3.37, 3 Tl 3.43-3.60
5 Tl 0.6571 0.3142 0.1978  2 In 3.28, 2 Pb 3.37, 1 Sn 3.37, 3 Tl 3.43-3.60
6 Tl 0.5089 0.0178 0.2632  1 Sn 3.23, 3 Tl 3.37-3.60, 4 Pb 3.38-3.61
7 Tl 0.4911 0.9822 0.7632  1 Sn 3.23, 3 Tl 3.37-3.60, 4 Pb 3.38-3.61
8 Tl 0.3191 0.6382 0.0275  1 In 3.11, 4 Pb 3.30-3.42, 1 Tl 3.34
9 Tl 0.9778 0.9557 0.5354  2 Sn 3.24, 1 Pb 3.31, 2 Tl 3.37
10 Tl 0.2580 0.5160 0.2963  2 In 3.32, 3 Tl 3.34-3.43, 1 Sn 3.50
11 Pb 0.9008 0.8015 0.8910  7 Tl 3.30-3.38, 1 Pb 3.53
12 Pb 0.8912 0.7824 0.2065  2 Sn 3.21, 2 Tl 3.42, 1 Pb 3.53
13 Pb 0.0992 0.1985 0.3910  7 Tl 3.30-3.38, 1 Pb 3.53
14 Pb 0.1088 0.2176 0.7065  2 Sn 3.21, 2 Tl 3.42, 1 Pb 3.53
15 In 0.8105 0.6210 0.4896  2 Sn 3.06, 5 Tl 3.11-3.32
16 In 0.1895 0.3790 0.9896  2 Sn 3.06, 5 Tl 3.11-3.32
17 Sn 0.3939 0.7878 0.4166  2 In 3.06, 2 Pb 3.21, 4 Tl 3.23-3.37
18 Sn 0.6061 0.2122 0.9166  2 In 3.06, 2 Pb 3.21, 4 Tl 3.23-3.37

The formation energy is 0.068 eV per atom. The density of states at the Fermi level comes out at 7.80 states/eV per cell. The space-group type is Cmc2_1. The calculation puts the total energy at -2.82 eV per atom.

***

Below is an optimized crystal structure of Nd2Dy12Er5, with properties calculated at the GGA-PBE level.

Cell: 9.1992 12.3759 8.5032 Å, 132.58 90.00 111.82°
Last column: nearest neighbours and their distance in Å.
Element x y z (fractional)
1 Er 0.2318 0.4637 0.8879  10 Dy 3.36-3.73, 2 Er 3.69
2 Er 0.7682 0.5363 0.1121  10 Dy 3.36-3.73, 2 Er 3.69
3 Er 0.6971 0.3941 0.3850  8 Dy 3.40-3.67, 2 Nd 3.53, 1 Er 3.69
4 Er 0.0000 0.0000 0.5000  10 Dy 3.55-3.72, 2 Er 3.69
5 Er 0.3029 0.6059 0.6150  8 Dy 3.40-3.67, 2 Nd 3.53, 1 Er 3.69
6 Dy 0.1821 0.7480 0.4007  4 Er 3.36-3.68, 6 Dy 3.40-3.71, 1 Nd 3.58
7 Dy 0.6619 0.6860 0.9298  5 Dy 3.33-3.71, 1 Nd 3.43, 4 Er 3.47-3.72
8 Dy 0.9759 0.3140 0.0702  5 Dy 3.33-3.71, 1 Nd 3.43, 4 Er 3.47-3.72
9 Dy 0.4414 0.8829 0.2126  2 Er 3.38-3.52, 2 Nd 3.39, 7 Dy 3.40-3.46
10 Dy 0.5658 0.7480 0.4007  4 Er 3.36-3.68, 6 Dy 3.40-3.71, 1 Nd 3.58
11 Dy 0.3381 0.3140 0.0702  5 Dy 3.33-3.71, 1 Nd 3.43, 4 Er 3.47-3.72
12 Dy 0.0941 0.1882 0.3053  3 Er 3.40-3.55, 2 Nd 3.42, 5 Dy 3.49-3.62
13 Dy 0.5586 0.1171 0.7874  2 Er 3.38-3.52, 2 Nd 3.39, 7 Dy 3.40-3.46
14 Dy 0.4342 0.2520 0.5993  4 Er 3.36-3.68, 6 Dy 3.40-3.71, 1 Nd 3.58
15 Dy 0.0241 0.6860 0.9298  5 Dy 3.33-3.71, 1 Nd 3.43, 4 Er 3.47-3.72
16 Dy 0.8179 0.2520 0.5993  4 Er 3.36-3.68, 6 Dy 3.40-3.71, 1 Nd 3.58
17 Dy 0.9059 0.8118 0.6947  3 Er 3.40-3.55, 2 Nd 3.42, 5 Dy 3.49-3.62
18 Nd 0.6837 0.0000 0.0000  1 Nd 3.38, 8 Dy 3.39-3.58, 2 Er 3.53
19 Nd 0.3163 0.0000 0.0000  1 Nd 3.38, 8 Dy 3.39-3.58, 2 Er 3.53

The formation energy is 0.134 eV per atom. The density of states at the Fermi level comes out at 27.38 states/eV per cell. The space-group type is C2/m. The calculation puts the total energy at -4.48 eV per atom.

***

Below is an optimized crystal structure of YTa2Cu, with properties calculated at the GGA-PBE level.

Cell: 3.0060 3.0060 8.4909 Å, 90.00 90.00 90.00°
Last column: nearest neighbours and their distance in Å.
Element x y z (fractional)
1 Ta 0.5000 0.5000 0.2273  8 Ta 3.01, 4 Y 3.27
2 Ta 0.0000 0.0000 0.9767  4 Cu 2.73, 8 Ta 3.01
3 Y 0.0000 0.0000 0.5207  4 Y 3.01, 4 Cu 3.03, 4 Ta 3.27
4 Cu 0.5000 0.5000 0.7753  4 Ta 2.73, 4 Cu 3.01, 4 Y 3.03

The formation energy is 0.230 eV per atom. The density of states at the Fermi level comes out at 3.78 states/eV per cell. The space-group type is P4mm. The calculation puts the total energy at -8.34 eV per atom.

***

Below is an optimized crystal structure of CsSr3I, with properties calculated at the GGA-PBE level.

Cell: 8.0983 8.0983 8.0983 Å, 90.00 90.00 90.00°
Last column: nearest neighbours and their distance in Å.
Element x y z (fractional)
1 Sr 0.0000 0.0000 0.5000  2 Cs 4.05
2 Sr 0.0000 0.5000 0.0000  2 Cs 4.05
3 Sr 0.5000 0.0000 0.0000  2 Cs 4.05
4 Cs 0.0000 0.0000 0.0000  6 Sr 4.05
5 I 0.5000 0.5000 0.5000  12 Sr 5.73

The density of states at the Fermi level comes out at 0.01 states/eV per cell. The space-group type is Pm-3m. The calculation puts the total energy at -0.93 eV per atom. The value obtained for the uncorrected formation energy is 53.9 kJ per mole of atoms.

***

Below is an optimized crystal structure of RuWCl3, with properties calculated at the GGA-PBE level.

Cell: 4.7915 4.7915 4.7915 Å, 90.00 90.00 90.00°
Last column: nearest neighbours and their distance in Å.
Element x y z (fractional)
1 Ru 0.0000 0.0000 0.0000  6 Cl 2.40
2 Cl 0.5000 0.0000 0.0000  2 Ru 2.40
3 Cl 0.0000 0.0000 0.5000  2 Ru 2.40
4 Cl 0.0000 0.5000 0.0000  2 Ru 2.40
5 W 0.5000 0.5000 0.5000  12 Cl 3.39

The density of states at the Fermi level comes out at 8.04 states/eV per cell. The space-group type is Pm-3m. The calculation puts the total energy at -4.43 eV per atom. The value obtained for the uncorrected formation energy is 108.7 kJ per mole of atoms.